# Li2CdI (PBE, optimized geometry)
data_Li2CdI
_space_group_name_H-M_alt 'I -4 2 d'
_space_group_IT_number 122
_space_group_name_Hall 'I -4 2bw'
_cell_length_a 7.6224
_cell_length_b 7.6224
_cell_length_c 7.6376
_cell_angle_alpha 90.00
_cell_angle_beta 90.00
_cell_angle_gamma 90.00
loop_
_atom_site_label
_atom_site_type_symbol
_atom_site_fract_x
_atom_site_fract_y
_atom_site_fract_z
_atom_site_occupancy
Li1 Li 0.2299 0.2500 0.1250 1
Cd1 Cd 0.0000 0.0000 0.5000 1
I1 I 0.0000 0.0000 0.0000 1
# **E above lowest polymorph**: 0.0 meV/atom
# **Volume**: 27.73 Å³/atom
# **Uncorrected formation energy**: -0.3841 eV per atom
# **Fermi-level density of states**: 0.657 states/eV per atom